DFT (GGA-PBE) results for an optimized crystal structure of Ba5In2As6.

Cell: 4.574 12.875 14.773 Å, 90.00 90.00 90.00°
Atoms (fractional coordinates):
1 Ba 0.500 0.826 0.016
2 As 0.500 0.162 0.684
3 In 0.000 0.824 0.214
4 As 0.000 0.843 0.603
5 As 0.000 0.012 0.085
6 As 0.000 0.657 0.103
7 In 0.000 0.676 0.714
8 As 0.000 0.343 0.897
9 As 0.500 0.662 0.816
10 Ba 0.500 0.084 0.244
11 Ba 0.500 0.500 0.000
12 Ba 0.500 0.916 0.756
13 As 0.500 0.838 0.316
14 Ba 0.500 0.416 0.744
15 As 0.000 0.988 0.915
16 Ba 0.500 0.674 0.516
17 As 0.000 0.512 0.415
18 In 0.000 0.324 0.286
19 Ba 0.500 0.584 0.256
20 As 0.000 0.488 0.585
21 Ba 0.500 0.000 0.500
22 Ba 0.500 0.174 0.984
23 Ba 0.500 0.326 0.484
24 As 0.000 0.157 0.397
25 In 0.000 0.176 0.786
26 As 0.500 0.338 0.184

Output
Total DFT energy (no corrections) (eV/atom): -4.223
Energy of formation from the pure elements (kJ/mol of formula units): -1149.1
M_tot (Bohr magnetons per cell): 0.000